Pm6SN2Cl3: relaxed, PBE.

The final energy comes out at -6.14 eV/atom. As for the crystal system: monoclinic.

It has space group C2/m (No. 12), with a = 6.604 Å, b = 11.427 Å, c = 7.230 Å, α = 90.00°, β = 107.72° and γ = 90.00°. Symmetry generates all atoms from Pm at (0.208, 0.000, 0.192), Pm at (0.243, 0.321, 0.193), S at (0.000, 0.500, 0.000), N at (0.000, 0.167, 0.000), Cl at (0.000, 0.000, 0.500) and Cl at (0.000, 0.337, 0.500).